No. 1
A plane-wave DFT calculation with PBE was carried out for a relaxed structure of NdGd2Ti.

Structure (POSCAR):
```
NdGd2Ti
1.0
-0.2383 2.6233 -2.1169
-3.0323 1.2699 -0.7823
-0.3239 8.8060 8.2518
Ti Gd Nd
1 2 1
Direct
0.0000 0.0000 0.0000
0.0821 0.0821 0.7536
0.9179 0.9179 0.2464
0.5000 0.5000 0.5000
```

Values from the calculation:
- energy (eV per cell) = -39.09
- formation energy from the elements (eV per atom) = 0.43
- SG = R-3m, No. 166


No. 2
A plane-wave DFT calculation with PBE was carried out for a relaxed structure of Nd2GdTi.

Structure (POSCAR):
```
Nd2GdTi
1.0
-0.6175 -3.6703 0.0674
1.3737 -0.2945 -3.4471
7.9014 -1.2695 3.2573
Gd Ti Nd
1 1 2
Direct
0.5000 0.5000 0.5000
0.5000 0.5000 0.0000
0.0000 0.0000 0.7862
0.0000 0.0000 0.2138
```

Values from the calculation:
- energy (eV per cell) = -30.76
- formation energy from the elements (eV per atom) = 0.19
- SG = P4/mmm, No. 123


No. 3
A plane-wave DFT calculation with PBE was carried out for a relaxed structure of NdGd2Ti.

Structure (POSCAR):
```
NdGd2Ti
1.0
-3.1202 -0.9449 1.0290
1.3294 -2.7824 1.4758
1.2356 5.0248 8.3606
Nd Gd Ti
1 2 1
Direct
0.5000 0.5000 0.5000
0.0000 0.0000 0.2136
0.0000 0.0000 0.7864
0.5000 0.5000 0.0000
```

Values from the calculation:
- energy (eV per cell) = -40.14
- formation energy from the elements (eV per atom) = 0.17
- SG = P4/mmm, No. 123


No. 4
A plane-wave DFT calculation with PBE was carried out for a relaxed structure of Nd2GdTl.

Structure (POSCAR):
```
Nd2GdTl
1.0
-0.8341 5.4170 -1.0917
-4.2531 1.5693 -3.2681
-4.3933 2.6522 2.2127
Nd Gd Tl
2 1 1
Direct
0.7500 0.7500 0.7500
0.2500 0.2500 0.2500
0.0000 0.0000 0.0000
0.5000 0.5000 0.5000
```

Values from the calculation:
- energy (eV per cell) = -26.37
- formation energy from the elements (eV per atom) = -0.10
- SG = Fm-3m, No. 225